Entry 1:
# PBE Dy4S5F2, relaxed
data_Dy4S5F2
_chemical_formula_sum 'Dy4 S5 F2'
_symmetry_space_group_name_H-M 'P 1'
_symmetry_Int_Tables_number 1
_symmetry_space_group_name_Hall 'P 1'
_cell_length_a 3.951
_cell_length_b 7.621
_cell_length_c 9.891
_cell_angle_alpha 123.82
_cell_angle_beta 101.52
_cell_angle_gamma 90.00
loop_
_atom_site_label
_atom_site_fract_x
_atom_site_fract_y
_atom_site_fract_z
_atom_site_occupancy
Dy1 0.289 0.296 0.578 1
Dy2 0.711 0.704 0.422 1
S1 0.153 0.858 0.306 1
S2 0.500 0.000 0.000 1
F1 0.554 0.451 0.108 1
S3 0.847 0.142 0.694 1
Dy3 0.987 0.738 0.974 1
S4 0.173 0.417 0.346 1
S5 0.827 0.583 0.654 1
Dy4 0.013 0.262 0.026 1
F2 0.446 0.549 0.892 1
# Energy, eV per atom: -6.310
# Space-group type: No. 12

***

Entry 2:
# PBE DyScF5, relaxed
data_DyScF5
_chemical_formula_sum 'Dy2 Sc2 F10'
_symmetry_space_group_name_H-M 'P 1'
_symmetry_Int_Tables_number 1
_symmetry_space_group_name_Hall 'P 1'
_cell_length_a 5.830
_cell_length_b 5.830
_cell_length_c 7.550
_cell_angle_alpha 71.35
_cell_angle_beta 71.35
_cell_angle_gamma 75.33
loop_
_atom_site_label
_atom_site_fract_x
_atom_site_fract_y
_atom_site_fract_z
_atom_site_occupancy
F1 0.320 0.674 0.473 1
F2 0.846 0.154 0.250 1
F3 0.326 0.680 0.027 1
Dy1 0.469 0.531 0.750 1
Sc1 0.000 0.000 0.500 1
F4 0.771 0.744 0.123 1
F5 0.229 0.256 0.877 1
F6 0.680 0.326 0.527 1
F7 0.744 0.771 0.623 1
F8 0.256 0.229 0.377 1
F9 0.674 0.320 0.973 1
F10 0.154 0.846 0.750 1
Dy2 0.531 0.469 0.250 1
Sc2 0.000 0.000 0.000 1
# Energy, eV per atom: -6.666
# Space-group type: No. 15

***

Entry 3:
# PBE Dy2ScF8, relaxed
data_Dy2ScF8
_chemical_formula_sum 'Dy2 Sc1 F8'
_symmetry_space_group_name_H-M 'P 1'
_symmetry_Int_Tables_number 1
_symmetry_space_group_name_Hall 'P 1'
_cell_length_a 4.362
_cell_length_b 6.016
_cell_length_c 6.016
_cell_angle_alpha 110.94
_cell_angle_beta 97.59
_cell_angle_gamma 97.59
loop_
_atom_site_label
_atom_site_fract_x
_atom_site_fract_y
_atom_site_fract_z
_atom_site_occupancy
F1 0.119 0.340 0.067 1
Sc1 0.500 0.000 0.000 1
F2 0.119 0.067 0.340 1
F3 0.292 0.642 0.642 1
F4 0.500 0.780 0.220 1
Dy1 0.000 0.315 0.685 1
F5 0.881 0.660 0.933 1
Dy2 0.000 0.685 0.315 1
F6 0.708 0.358 0.358 1
F7 0.500 0.220 0.780 1
F8 0.881 0.933 0.660 1
# Energy, eV per atom: -6.554
# Space-group type: No. 12

***

Entry 4:
# PBE DySc2F8, relaxed
data_DySc2F8
_chemical_formula_sum 'Dy1 Sc2 F8'
_symmetry_space_group_name_H-M 'P 1'
_symmetry_Int_Tables_number 1
_symmetry_space_group_name_Hall 'P 1'
_cell_length_a 5.333
_cell_length_b 5.646
_cell_length_c 5.646
_cell_angle_alpha 73.94
_cell_angle_beta 101.66
_cell_angle_gamma 101.66
loop_
_atom_site_label
_atom_site_fract_x
_atom_site_fract_y
_atom_site_fract_z
_atom_site_occupancy
F1 0.702 0.657 0.051 1
F2 0.298 0.343 0.949 1
F3 0.227 0.835 0.835 1
Sc1 0.441 0.670 0.670 1
F4 0.298 0.949 0.343 1
Sc2 0.559 0.330 0.330 1
F5 0.750 0.565 0.565 1
Dy1 0.000 0.000 0.000 1
F6 0.702 0.051 0.657 1
F7 0.773 0.165 0.165 1
F8 0.250 0.435 0.435 1
# Energy, eV per atom: -6.713
# Space-group type: No. 12

***

Entry 5:
# PBE Dy3ScF, relaxed
data_Dy3ScF
_chemical_formula_sum 'Dy3 Sc1 F1'
_symmetry_space_group_name_H-M 'P 1'
_symmetry_Int_Tables_number 1
_symmetry_space_group_name_Hall 'P 1'
_cell_length_a 4.945
_cell_length_b 4.945
_cell_length_c 4.945
_cell_angle_alpha 90.00
_cell_angle_beta 90.00
_cell_angle_gamma 90.00
loop_
_atom_site_label
_atom_site_fract_x
_atom_site_fract_y
_atom_site_fract_z
_atom_site_occupancy
Dy1 0.500 0.000 0.000 1
F1 0.000 0.000 0.000 1
Sc1 0.500 0.500 0.500 1
Dy2 0.000 0.000 0.500 1
Dy3 0.000 0.500 0.000 1
# Energy, eV per atom: -5.314
# Space-group type: No. 221

***

Entry 6:
# PBE Dy2ScF, relaxed
data_Dy2ScF
_chemical_formula_sum 'Dy2 Sc1 F1'
_symmetry_space_group_name_H-M 'P 1'
_symmetry_Int_Tables_number 1
_symmetry_space_group_name_Hall 'P 1'
_cell_length_a 3.615
_cell_length_b 3.615
_cell_length_c 8.439
_cell_angle_alpha 77.63
_cell_angle_beta 77.63
_cell_angle_gamma 60.00
loop_
_atom_site_label
_atom_site_fract_x
_atom_site_fract_y
_atom_site_fract_z
_atom_site_occupancy
Dy1 0.274 0.274 0.178 1
Sc1 0.500 0.500 0.500 1
F1 0.000 0.000 0.000 1
Dy2 0.726 0.726 0.822 1
# Energy, eV per atom: -5.455
# Space-group type: No. 166

***

Entry 7:
# PBE DySc2F, relaxed
data_DySc2F
_chemical_formula_sum 'Dy1 Sc2 F1'
_symmetry_space_group_name_H-M 'P 1'
_symmetry_Int_Tables_number 1
_symmetry_space_group_name_Hall 'P 1'
_cell_length_a 3.435
_cell_length_b 3.435
_cell_length_c 8.385
_cell_angle_alpha 78.18
_cell_angle_beta 78.18
_cell_angle_gamma 60.00
loop_
_atom_site_label
_atom_site_fract_x
_atom_site_fract_y
_atom_site_fract_z
_atom_site_occupancy
F1 0.000 0.000 0.000 1
Sc1 0.723 0.723 0.831 1
Sc2 0.277 0.277 0.169 1
Dy1 0.500 0.500 0.500 1
# Energy, eV per atom: -5.849
# Space-group type: No. 166

***

Entry 8:
# PBE DySeF, relaxed
data_DySeF
_chemical_formula_sum 'Dy1 Se1 F1'
_symmetry_space_group_name_H-M 'P 1'
_symmetry_Int_Tables_number 1
_symmetry_space_group_name_Hall 'P 1'
_cell_length_a 3.492
_cell_length_b 3.492
_cell_length_c 5.205
_cell_angle_alpha 109.60
_cell_angle_beta 109.60
_cell_angle_gamma 90.00
loop_
_atom_site_label
_atom_site_fract_x
_atom_site_fract_y
_atom_site_fract_z
_atom_site_occupancy
Dy1 0.687 0.687 0.374 1
Se1 0.012 0.012 0.025 1
F1 0.300 0.300 0.601 1
# Energy, eV per atom: -5.608
# Space-group type: No. 107

***

Entry 9:
# PBE DySeF, relaxed
data_DySeF
_chemical_formula_sum 'Dy1 Se1 F1'
_symmetry_space_group_name_H-M 'P 1'
_symmetry_Int_Tables_number 1
_symmetry_space_group_name_Hall 'P 1'
_cell_length_a 4.520
_cell_length_b 4.520
_cell_length_c 4.520
_cell_angle_alpha 60.00
_cell_angle_beta 60.00
_cell_angle_gamma 60.00
loop_
_atom_site_label
_atom_site_fract_x
_atom_site_fract_y
_atom_site_fract_z
_atom_site_occupancy
Dy1 0.250 0.250 0.250 1
F1 0.500 0.500 0.500 1
Se1 0.000 0.000 0.000 1
# Energy, eV per atom: -5.900
# Space-group type: No. 216

***

Entry 10:
# PBE Dy2SeF3, relaxed
data_Dy2SeF3
_chemical_formula_sum 'Dy4 Se2 F6'
_symmetry_space_group_name_H-M 'P 1'
_symmetry_Int_Tables_number 1
_symmetry_space_group_name_Hall 'P 1'
_cell_length_a 3.957
_cell_length_b 6.752
_cell_length_c 9.571
_cell_angle_alpha 59.03
_cell_angle_beta 78.07
_cell_angle_gamma 72.96
loop_
_atom_site_label
_atom_site_fract_x
_atom_site_fract_y
_atom_site_fract_z
_atom_site_occupancy
Se1 0.409 0.498 0.683 1
Dy1 0.888 0.298 0.926 1
Dy2 0.112 0.702 0.074 1
F1 0.287 0.327 0.099 1
Dy3 0.632 0.084 0.652 1
F2 0.915 0.982 0.187 1
F3 0.085 0.018 0.813 1
Dy4 0.368 0.916 0.348 1
F4 0.808 0.921 0.464 1
Se2 0.591 0.502 0.317 1
F5 0.192 0.079 0.536 1
F6 0.713 0.673 0.901 1
# Energy, eV per atom: -6.186
# Space-group type: No. 12

***

Entry 11:
# PBE Dy2SeF, relaxed
data_Dy2SeF
_chemical_formula_sum 'Dy2 Se1 F1'
_symmetry_space_group_name_H-M 'P 1'
_symmetry_Int_Tables_number 1
_symmetry_space_group_name_Hall 'P 1'
_cell_length_a 3.865
_cell_length_b 3.865
_cell_length_c 8.254
_cell_angle_alpha 76.46
_cell_angle_beta 76.46
_cell_angle_gamma 60.00
loop_
_atom_site_label
_atom_site_fract_x
_atom_site_fract_y
_atom_site_fract_z
_atom_site_occupancy
F1 0.000 0.000 0.000 1
Se1 0.500 0.500 0.500 1
Dy1 0.909 0.909 0.272 1
Dy2 0.091 0.091 0.728 1
# Energy, eV per atom: -5.628
# Space-group type: No. 166

***

Entry 12:
# PBE Dy4Se5F, relaxed
data_Dy4Se5F
_chemical_formula_sum 'Dy4 Se5 F1'
_symmetry_space_group_name_H-M 'P 1'
_symmetry_Int_Tables_number 1
_symmetry_space_group_name_Hall 'P 1'
_cell_length_a 4.104
_cell_length_b 10.885
_cell_length_c 7.845
_cell_angle_alpha 107.24
_cell_angle_beta 105.16
_cell_angle_gamma 90.00
loop_
_atom_site_label
_atom_site_fract_x
_atom_site_fract_y
_atom_site_fract_z
_atom_site_occupancy
Dy1 0.996 0.674 0.993 1
Se1 0.837 0.739 0.675 1
Se2 0.500 0.500 0.000 1
Dy2 0.651 0.079 0.302 1
Dy3 0.349 0.921 0.698 1
F1 0.500 0.000 0.000 1
Dy4 0.004 0.326 0.007 1
Se3 0.163 0.261 0.325 1
Se4 0.849 0.112 0.698 1
Se5 0.151 0.888 0.302 1
# Energy, eV per atom: -5.743
# Space-group type: No. 12

***

Entry 13:
# PBE DySeF, relaxed
data_DySeF
_chemical_formula_sum 'Dy4 Se4 F4'
_symmetry_space_group_name_H-M 'P 1'
_symmetry_Int_Tables_number 1
_symmetry_space_group_name_Hall 'P 1'
_cell_length_a 6.237
_cell_length_b 6.573
_cell_length_c 6.485
_cell_angle_alpha 73.23
_cell_angle_beta 90.00
_cell_angle_gamma 90.00
loop_
_atom_site_label
_atom_site_fract_x
_atom_site_fract_y
_atom_site_fract_z
_atom_site_occupancy
Dy1 0.302 0.053 0.765 1
Dy2 0.198 0.553 0.265 1
Se1 0.926 0.787 0.906 1
F1 0.925 0.691 0.423 1
F2 0.425 0.809 0.077 1
Dy3 0.698 0.947 0.235 1
Se2 0.074 0.213 0.094 1
F3 0.575 0.191 0.923 1
Se3 0.426 0.713 0.594 1
Se4 0.574 0.287 0.406 1
F4 0.075 0.309 0.577 1
Dy4 0.802 0.447 0.735 1
# Energy, eV per atom: -6.168
# Space-group type: No. 14

***

Entry 14:
# PBE Dy4Se5F2, relaxed
data_Dy4Se5F2
_chemical_formula_sum 'Dy4 Se5 F2'
_symmetry_space_group_name_H-M 'P 1'
_symmetry_Int_Tables_number 1
_symmetry_space_group_name_Hall 'P 1'
_cell_length_a 4.037
_cell_length_b 7.886
_cell_length_c 10.466
_cell_angle_alpha 124.08
_cell_angle_beta 101.12
_cell_angle_gamma 90.00
loop_
_atom_site_label
_atom_site_fract_x
_atom_site_fract_y
_atom_site_fract_z
_atom_site_occupancy
Se1 0.173 0.412 0.346 1
Dy1 0.710 0.706 0.420 1
F1 0.553 0.449 0.106 1
Se2 0.500 0.000 0.000 1
Dy2 0.017 0.276 0.035 1
Se3 0.150 0.857 0.300 1
Dy3 0.290 0.294 0.580 1
Se4 0.850 0.143 0.700 1
Dy4 0.983 0.724 0.965 1
Se5 0.827 0.588 0.654 1
F2 0.447 0.551 0.894 1
# Energy, eV per atom: -5.851
# Space-group type: No. 12

***

Entry 15:
# PBE DySeF, relaxed
data_DySeF
_chemical_formula_sum 'Dy2 Se2 F2'
_symmetry_space_group_name_H-M 'P 1'
_symmetry_Int_Tables_number 1
_symmetry_space_group_name_Hall 'P 1'
_cell_length_a 4.020
_cell_length_b 5.304
_cell_length_c 6.877
_cell_angle_alpha 105.61
_cell_angle_beta 90.00
_cell_angle_gamma 112.27
loop_
_atom_site_label
_atom_site_fract_x
_atom_site_fract_y
_atom_site_fract_z
_atom_site_occupancy
Dy1 0.297 0.594 0.750 1
Se1 0.602 0.204 0.817 1
F1 0.830 0.660 0.596 1
Se2 0.398 0.796 0.183 1
Dy2 0.703 0.406 0.250 1
F2 0.170 0.340 0.404 1
# Energy, eV per atom: -6.149
# Space-group type: No. 12

***

Entry 16:
# PBE Dy2Se2F3, relaxed
data_Dy2Se2F3
_chemical_formula_sum 'Dy2 Se2 F3'
_symmetry_space_group_name_H-M 'P 1'
_symmetry_Int_Tables_number 1
_symmetry_space_group_name_Hall 'P 1'
_cell_length_a 3.726
_cell_length_b 5.609
_cell_length_c 7.158
_cell_angle_alpha 116.09
_cell_angle_beta 90.00
_cell_angle_gamma 109.40
loop_
_atom_site_label
_atom_site_fract_x
_atom_site_fract_y
_atom_site_fract_z
_atom_site_occupancy
F1 0.337 0.675 0.584 1
Se1 0.867 0.734 0.209 1
Se2 0.133 0.266 0.791 1
F2 0.500 0.000 0.000 1
F3 0.663 0.325 0.416 1
Dy1 0.163 0.327 0.232 1
Dy2 0.837 0.673 0.768 1
# Energy, eV per atom: -5.924
# Space-group type: No. 12

***

Entry 17:
# PBE DySeF, relaxed
data_DySeF
_chemical_formula_sum 'Dy1 Se1 F1'
_symmetry_space_group_name_H-M 'P 1'
_symmetry_Int_Tables_number 1
_symmetry_space_group_name_Hall 'P 1'
_cell_length_a 4.011
_cell_length_b 3.996
_cell_length_c 3.996
_cell_angle_alpha 120.00
_cell_angle_beta 90.00
_cell_angle_gamma 90.00
loop_
_atom_site_label
_atom_site_fract_x
_atom_site_fract_y
_atom_site_fract_z
_atom_site_occupancy
F1 0.167 0.000 0.000 1
Se1 0.667 0.333 0.667 1
Dy1 0.167 0.667 0.333 1
# Energy, eV per atom: -6.181
# Space-group type: No. 187

***

Entry 18:
# PBE SrDySe2F, relaxed
data_SrDySe2F
_chemical_formula_sum 'Sr2 Dy2 Se4 F2'
_symmetry_space_group_name_H-M 'P 1'
_symmetry_Int_Tables_number 1
_symmetry_space_group_name_Hall 'P 1'
_cell_length_a 4.111
_cell_length_b 4.111
_cell_length_c 14.613
_cell_angle_alpha 90.00
_cell_angle_beta 90.00
_cell_angle_gamma 90.00
loop_
_atom_site_label
_atom_site_fract_x
_atom_site_fract_y
_atom_site_fract_z
_atom_site_occupancy
Se1 0.500 0.000 0.910 1
Se2 0.000 0.500 0.700 1
Se3 0.000 0.500 0.090 1
Sr1 0.500 0.000 0.599 1
Se4 0.500 0.000 0.300 1
Dy1 0.000 0.500 0.879 1
Sr2 0.000 0.500 0.401 1
F1 0.000 0.000 0.500 1
Dy2 0.500 0.000 0.121 1
F2 0.500 0.500 0.500 1
# Energy, eV per atom: -5.509
# Space-group type: No. 129

***

Entry 19:
# PBE Sm2DyF11, relaxed
data_Sm2DyF11
_chemical_formula_sum 'Sm4 Dy2 F22'
_symmetry_space_group_name_H-M 'P 1'
_symmetry_Int_Tables_number 1
_symmetry_space_group_name_Hall 'P 1'
_cell_length_a 8.574
_cell_length_b 8.772
_cell_length_c 8.772
_cell_angle_alpha 72.49
_cell_angle_beta 60.75
_cell_angle_gamma 60.75
loop_
_atom_site_label
_atom_site_fract_x
_atom_site_fract_y
_atom_site_fract_z
_atom_site_occupancy
Sm1 0.162 0.810 0.190 1
F1 0.065 0.560 0.709 1
F2 0.334 0.291 0.440 1
F3 0.565 0.209 0.060 1
F4 0.254 0.315 0.977 1
Sm2 0.662 0.690 0.310 1
F5 0.935 0.440 0.291 1
F6 0.393 0.690 0.310 1
F7 0.435 0.791 0.940 1
F8 0.955 0.815 0.477 1
F9 0.834 0.940 0.791 1
F10 0.754 0.477 0.815 1
Sm3 0.338 0.310 0.690 1
Dy1 0.750 0.750 0.750 1
F11 0.107 0.190 0.810 1
Dy2 0.250 0.250 0.250 1
F12 0.893 0.810 0.190 1
F13 0.666 0.709 0.560 1
F14 0.746 0.685 0.023 1
F15 0.166 0.060 0.209 1
F16 0.500 0.500 0.500 1
F17 0.000 0.000 0.000 1
F18 0.545 0.023 0.685 1
F19 0.045 0.185 0.523 1
F20 0.607 0.310 0.690 1
Sm4 0.838 0.190 0.810 1
F21 0.455 0.977 0.315 1
F22 0.246 0.523 0.185 1
# Energy, eV per atom: -5.902
# Space-group type: No. 72

***

Entry 20:
# PBE SmDyF6, relaxed
data_SmDyF6
_chemical_formula_sum 'Sm1 Dy1 F6'
_symmetry_space_group_name_H-M 'P 1'
_symmetry_Int_Tables_number 1
_symmetry_space_group_name_Hall 'P 1'
_cell_length_a 6.039
_cell_length_b 4.476
_cell_length_c 4.476
_cell_angle_alpha 68.81
_cell_angle_beta 94.70
_cell_angle_gamma 85.30
loop_
_atom_site_label
_atom_site_fract_x
_atom_site_fract_y
_atom_site_fract_z
_atom_site_occupancy
F1 0.264 0.944 0.484 1
F2 0.662 0.112 0.621 1
F3 0.135 0.275 0.824 1
Sm1 0.500 0.113 0.113 1
F4 0.865 0.824 0.275 1
Dy1 0.000 0.793 0.793 1
F5 0.338 0.621 0.112 1
F6 0.736 0.484 0.944 1
# Energy, eV per atom: -6.646
# Space-group type: No. 5